# 1
A relaxed structure of PmTmRhPb. Source: the Alexandria database, functional GGA-PBE.

Calculated values
calculated formation energy: -484 meV per atom
space group: F-43m
crystal system: cubic
final energy: -22.2 eV per cell

Lattice parameters (Å, degrees): 5.183 5.183 5.183 60.00 60.00 60.00
Atoms (fractional coordinates):
1 Pb 0.500 0.500 0.500
2 Pm 0.250 0.250 0.250
3 Tm 0.750 0.750 0.750
4 Rh 0.000 0.000 0.000


# 2
A relaxed structure of PmYRhPb. Source: the Alexandria database, functional GGA-PBE.

Calculated values
calculated formation energy: -492 meV per atom
space group: F-43m
crystal system: cubic
final energy: -24.2 eV per cell

Lattice parameters (Å, degrees): 5.219 5.219 5.219 60.00 60.00 60.00
Atoms (fractional coordinates):
1 Y 0.750 0.750 0.750
2 Pm 0.250 0.250 0.250
3 Pb 0.000 0.000 0.000
4 Rh 0.500 0.500 0.500


# 3
A relaxed structure of Pm2Zn2Rh5Pb. Source: the Alexandria database, functional GGA-PBE.

Calculated values
calculated formation energy: -533 meV per atom
space group: P4/mbm
crystal system: tetragonal
final energy: -115.7 eV per cell

Lattice parameters (Å, degrees): 3.761 9.793 9.793 90.00 90.00 90.00
Atoms (fractional coordinates):
1 Pb 0.000 0.000 0.000
2 Pb 0.000 0.500 0.500
3 Rh 0.500 0.000 0.500
4 Rh 0.500 0.289 0.569
5 Rh 0.500 0.789 0.931
6 Rh 0.500 0.431 0.289
7 Rh 0.500 0.569 0.711
8 Rh 0.500 0.931 0.211
9 Rh 0.500 0.500 0.000
10 Rh 0.500 0.069 0.789
11 Rh 0.500 0.711 0.431
12 Rh 0.500 0.211 0.069
13 Pm 0.000 0.324 0.824
14 Pm 0.000 0.676 0.176
15 Pm 0.000 0.824 0.676
16 Pm 0.000 0.176 0.324
17 Zn 0.000 0.879 0.379
18 Zn 0.000 0.379 0.121
19 Zn 0.000 0.121 0.621
20 Zn 0.000 0.621 0.879